An optimized crystal structure of Ti3HgN, computed with PBE-GGA.

E_form (uncorrected), meV per atom: -794

CIF file:
```
data_Ti3HgN
_cell_length_a 9.638
_cell_length_b 12.155
_cell_length_c 5.163
_cell_angle_alpha 90.00
_cell_angle_beta 90.28
_cell_angle_gamma 90.00
_space_group_name_H-M_alt 'C 1 2/c 1'
_space_group_IT_number 15
loop_
_space_group_symop_operation_xyz
'x,y,z'
'-x,-y,-z'
'-x,y,-z+1/2'
'x,-y,z+1/2'
'x+1/2,y+1/2,z'
'-x+1/2,-y+1/2,-z'
'-x+1/2,y+1/2,-z+1/2'
'x+1/2,-y+1/2,z+1/2'
loop_
_atom_site_label
_atom_site_fract_x
_atom_site_fract_y
_atom_site_fract_z
_atom_site_occupancy
Ti1 0.112 0.069 0.419 1
Ti2 0.123 0.186 0.917 1
Ti3 0.125 0.308 0.443 1
Hg1 0.138 0.435 0.943 1
N1 0.000 0.063 0.750 1
N2 0.000 0.196 0.250 1
```